Record 1
DFT (PBE) results for a relaxed EuPb5 crystal.

The structure in extended XYZ format:
```
6
Lattice="5.055 0.000 0.000 0.000 4.957 0.000 0.000 -2.478 7.456" Properties=species:S:1:pos:R:3 pbc="T T T"
Pb 0.000 0.000 4.919
Pb 0.000 2.478 2.537
Pb 2.528 2.478 4.984
Eu 0.000 0.000 0.000
Pb 2.528 0.000 2.472
Pb 2.528 2.478 0.000
```

The calculation puts the total magnetic moment at 7.10 μB per formula unit. The calculation puts the formation energy at -0.20 eV/atom.

Record 2
DFT (PBE) results for a relaxed LiCuH6Ru crystal.

The structure in extended XYZ format:
```
18
Lattice="-0.079 -2.163 -3.987 -0.103 -2.368 3.867 -8.766 0.354 -0.018" Properties=species:S:1:pos:R:3 pbc="T T T"
Ru -6.670 -2.034 1.236
H -1.099 -1.103 -1.961
Li -4.383 0.177 -0.009
H -5.531 -2.047 0.002
H -3.455 -3.150 -2.022
H -7.801 -1.956 -0.003
H -7.850 -3.074 1.824
H -1.185 -3.242 -2.017
H -3.418 -2.130 -0.139
Li 0.000 0.000 0.000
H -5.493 -1.026 1.885
H -7.764 -0.934 1.880
Cu -2.287 -2.211 1.245
Ru -2.279 -2.143 -1.373
H -3.369 -1.010 -1.965
Cu -6.662 -1.966 -1.382
H -1.147 -2.220 -0.134
H -5.580 -3.166 1.828
```

The calculation puts the total magnetic moment at 0.00 μB per formula unit. For the total energy, the calculation gives -3.8632 eV/atom.

Record 3
DFT (PBE) results for a relaxed Tc3Ru crystal.

The structure in extended XYZ format:
```
4
Lattice="9.073 0.003 -0.002 0.411 2.702 0.000 -0.411 -1.320 2.358" Properties=species:S:1:pos:R:3 pbc="T T T"
Tc 2.054 -0.312 1.767
Tc 4.537 0.693 1.178
Tc 7.019 1.698 0.589
Ru 0.000 0.000 0.000
```

The calculation puts the total magnetic moment at 0.00 μB per formula unit. The calculation puts the formation energy at 0.07 eV/atom.

Record 4
DFT (PBE) results for a relaxed Pr3Ga5Te12 crystal.

The structure in extended XYZ format:
```
80
Lattice="-13.621 -0.174 6.503 -0.304 -8.398 -12.539 10.221 -5.626 9.577" Properties=species:S:1:pos:R:3 pbc="T T T"
Te -0.887 -4.010 -3.527
Te 5.653 -12.848 0.160
Te -6.108 -4.427 10.788
Ga 0.739 -4.577 -1.495
Te 4.337 -8.168 4.587
Ga -2.393 -8.095 -8.149
Pr -9.401 -2.609 6.517
Te -8.531 -9.458 -3.322
Te 3.486 -4.118 2.851
Pr 7.165 -7.044 6.058
Te 3.551 -8.978 -2.981
Ga 4.959 -7.012 -1.481
Te 7.457 -6.228 9.269
Te -7.066 -6.174 2.895
Te -9.357 -1.350 3.381
Te -0.244 -8.391 -9.694
Te -6.064 -2.546 2.029
Pr 1.053 -9.880 -0.980
Te -7.189 -10.080 0.690
Ga -0.152 -4.199 -6.270
Ga -5.606 -5.768 8.541
Te -11.160 -7.971 -5.728
Te -6.366 -1.566 5.642
Te 0.351 -4.432 6.798
Te -3.994 -7.672 -0.012
Te 4.827 -4.740 6.864
Ga -3.906 -2.868 0.501
Ga -1.700 -2.900 8.040
Te 6.605 -9.234 -0.811
Pr -4.093 -10.995 -0.108
Te -0.389 -6.840 -0.656
Te 0.920 -2.669 0.355
Ga 2.869 -6.709 2.910
Te 2.405 -9.771 -7.246
Ga -6.810 -0.087 3.252
Pr 0.390 -3.203 3.650
Ga 5.110 -2.813 4.789
Te -11.548 -6.115 0.569
Te -8.041 -6.031 -1.046
Pr 5.697 -11.590 -2.976
Te -1.426 -12.023 -1.809
Pr -0.961 -7.478 6.545
Te -4.055 -9.766 -3.257
Ga -6.572 -7.489 0.632
Te 3.362 -8.025 0.646
Te -3.314 -7.358 4.198
Te 1.934 -7.933 8.117
Pr 5.348 -10.215 2.169
Te -2.181 -6.194 -6.295
Te -5.638 -6.265 -4.575
Ga 0.203 -11.330 3.040
Te 7.844 -8.083 2.973
Ga -6.223 -8.863 -4.513
Te -7.255 -5.220 6.522
Pr -10.868 -7.154 -2.517
Pr -4.756 -4.318 4.521
Te -2.278 -2.175 5.350
Te 0.672 -10.211 5.412
Ga 0.000 0.000 0.000
Te -1.523 -8.004 9.836
Te -3.460 -5.807 13.236
Ga 1.903 -8.430 -5.000
Ga -1.852 -7.099 1.771
Ga 2.520 -5.335 8.054
Ga -4.442 -9.621 5.036
Te 2.663 -12.632 -2.100
Pr -9.052 -3.983 1.372
Ga -6.962 -4.286 -3.018
Te -2.420 -4.337 2.154
Ga -1.310 -6.103 11.690
Te -4.623 -11.529 3.186
Te 2.361 -11.652 1.512
Te -1.283 -9.861 1.388
Pr -2.742 -6.720 -3.004
Te -3.285 -5.170 7.380
Te -4.376 -3.987 -1.870
Te -0.419 -9.029 -3.838
Te -10.309 -4.964 4.352
Te 0.291 -6.526 3.554
Te -2.816 -10.188 7.069
```

The calculation puts the total magnetic moment at 0.00 μB per formula unit. The uncorrected formation energy comes out at -0.672 eV/atom.

Record 5
DFT (PBE) results for a relaxed CsMgTlHg2 crystal.

The structure in extended XYZ format:
```
5
Lattice="-0.905 5.471 1.407 -2.986 0.747 -4.823 -4.762 -1.487 2.718" Properties=species:S:1:pos:R:3 pbc="T T T"
Hg -0.453 2.736 0.704
Mg 0.000 0.000 0.000
Hg -1.493 0.373 -2.412
Tl -2.381 -0.744 1.359
Cs -4.327 2.365 -0.349
```

The calculation puts the total magnetic moment at 0.00 μB per formula unit. The calculation puts the formation energy at -0.08 eV/atom.

Record 6
DFT (PBE) results for a relaxed ZnCr2Tc crystal.

The structure in extended XYZ format:
```
4
Lattice="-2.791 1.080 -3.929 4.742 -1.103 -0.833 -0.269 -2.318 -0.979" Properties=species:S:1:pos:R:3 pbc="T T T"
Tc -1.530 -0.619 -2.454
Zn 2.236 -1.711 -0.906
Cr 0.975 -0.012 -2.381
Cr 0.000 0.000 0.000
```

The calculation puts the total magnetic moment at 0.00 μB per formula unit. The calculation puts the formation energy at 0.22 eV/atom.

Record 7
DFT (PBE) results for a relaxed NdErV crystal.

The structure in extended XYZ format:
```
6
Lattice="3.425 0.000 0.000 0.000 3.425 0.000 0.000 0.000 13.681" Properties=species:S:1:pos:R:3 pbc="T T T"
Nd 1.713 0.000 10.902
Er 1.713 0.000 5.586
V 0.000 0.000 0.000
V 1.713 1.713 0.000
Er 0.000 1.713 8.096
Nd 0.000 1.713 2.779
```

The calculation puts the total magnetic moment at 0.01 μB per formula unit. The calculation puts the formation energy at 0.39 eV/atom.

Record 8
DFT (PBE) results for a relaxed LaTl2P2S6 crystal.

The structure in extended XYZ format:
```
11
Lattice="-0.445 1.182 6.945 1.252 -6.547 -2.393 5.962 6.807 -0.777" Properties=species:S:1:pos:R:3 pbc="T T T"
La 2.759 3.995 3.084
S 2.144 -3.548 2.657
P 2.240 1.310 -0.080
S 4.388 5.621 4.828
Tl 5.461 2.064 -0.002
S 1.848 -0.696 0.237
S 4.625 4.990 1.118
P 4.530 0.132 3.855
S 2.381 -4.179 -1.053
S 4.922 2.138 3.539
Tl 1.308 -0.622 3.777
```

The calculation puts the total magnetic moment at 0.00 μB per formula unit. The uncorrected formation energy comes out at -0.633 eV/atom.

Record 9
DFT (PBE) results for a relaxed Cd7AgAu12 crystal.

The structure in extended XYZ format:
```
20
Lattice="0.611 -2.138 7.064 6.618 -2.794 -1.798 2.808 6.706 1.407" Properties=species:S:1:pos:R:3 pbc="T T T"
Au 7.754 3.093 1.880
Cd 9.062 1.495 3.848
Au 4.949 -0.691 5.590
Au 5.089 2.466 1.082
Cd 7.793 -0.161 6.196
Au 2.781 1.532 4.803
Au 4.847 -1.750 2.568
Au 5.421 -0.735 -0.080
Cd 0.976 0.279 2.825
Au 2.284 -1.318 4.793
Ag 0.000 0.000 0.000
Au 2.961 3.938 2.377
Cd 5.019 0.887 3.336
Cd 7.346 2.944 6.044
Au 7.257 0.242 1.870
Au 4.617 2.509 6.753
Cd 2.245 1.935 0.477
Au 7.077 -2.164 4.296
Au 5.191 3.525 4.105
Cd 2.692 -1.170 0.629
```

The calculation puts the total magnetic moment at 0.00 μB per formula unit. The calculation puts the formation energy at -0.07 eV/atom.

Record 10
DFT (PBE) results for a relaxed KTe2Os crystal.

The structure in extended XYZ format:
```
4
Lattice="8.074 -0.035 -0.109 -4.165 4.770 0.019 -0.255 0.881 2.720" Properties=species:S:1:pos:R:3 pbc="T T T"
K -2.210 2.826 1.369
Te 3.909 0.423 1.306
Te 0.000 0.000 0.000
Os 1.955 2.368 -0.045
```

The calculation puts the total magnetic moment at 0.00 μB per formula unit. The uncorrected formation energy comes out at 0.745 eV/atom.

Record 11
DFT (PBE) results for a relaxed PmHoSiIr crystal.

The structure in extended XYZ format:
```
4
Lattice="-0.062 2.715 4.179 -3.777 3.130 0.882 -3.301 -1.027 3.590" Properties=species:S:1:pos:R:3 pbc="T T T"
Ir -1.785 1.204 2.163
Pm -3.570 2.409 4.326
Ho 0.000 0.000 0.000
Si -5.355 3.613 6.489
```

The calculation puts the total magnetic moment at 0.00 μB per formula unit. The uncorrected formation energy comes out at -0.545 eV/atom.

Record 12
DFT (PBE) results for a relaxed TlSiAg2O crystal.

The structure in extended XYZ format:
```
5
Lattice="-3.771 1.985 -3.207 -0.446 -4.451 -2.231 -3.741 -1.396 3.535" Properties=species:S:1:pos:R:3 pbc="T T T"
Si -0.223 -2.226 -1.115
Ag -1.885 0.992 -1.604
Tl 0.000 0.000 0.000
O -3.979 -1.932 -0.952
Ag -1.871 -0.698 1.767
```

The calculation puts the total magnetic moment at 0.00 μB per formula unit. The uncorrected formation energy comes out at 1.381 eV/atom.